Entry 1:
DFT (PBE-GGA) results for K2PAu after structural relaxation.

Computed properties:
Total moment, μB/f.u.: 0.0
Space-group type: Fmmm
Energy of formation, eV/atom: 0.030

a = 5.7246 Å, b = 5.7246 Å, c = 5.9624 Å
α = 133.42°, β = 133.42°, γ = 64.43°
Atoms (fractional coordinates):
K1 0.0000 0.0000 0.0000
K2 0.5000 0.5000 0.0000
Au1 0.2500 0.7500 0.5000
P1 0.7500 0.2500 0.5000

***

Entry 2:
DFT (PBE-GGA) results for TbB5Rh7 after structural relaxation.

Computed properties:
Total moment, μB/f.u.: 0.0
Space-group type: Imm2
Energy of formation, eV/atom: -0.209

a = 4.9304 Å, b = 6.1880 Å, c = 6.1880 Å
α = 84.58°, β = 66.52°, γ = 66.52°
Atoms (fractional coordinates):
Rh1 0.5577 0.1476 0.7369
Rh2 0.5577 0.7369 0.1476
Rh3 0.9212 0.4132 0.7444
Rh4 0.2545 0.2455 0.2455
Rh5 0.6748 0.3252 0.3252
Rh6 0.3410 0.6590 0.6590
Rh7 0.9212 0.7444 0.4132
B1 0.0793 0.4777 0.9973
B2 0.4457 0.4777 0.9973
B3 0.7138 0.7862 0.7862
B4 0.4457 0.9973 0.4777
B5 0.0793 0.9973 0.4777
Tb1 0.0079 0.9921 0.9921

***

Entry 3:
DFT (PBE-GGA) results for TbPm3Tl3 after structural relaxation.

Computed properties:
Total moment, μB/f.u.: 0.0
Space-group type: P2_13
Excess energy over the best structure of this formula in the dataset, eV/f.u.: 0.00
Energy of formation, eV/atom: -0.277

a = 9.5158 Å, b = 9.5158 Å, c = 9.5158 Å
α = 90.00°, β = 90.00°, γ = 90.00°
Atoms (fractional coordinates):
Pm1 0.4292 0.5708 0.0708
Pm2 0.5708 0.0708 0.4292
Pm3 0.8238 0.6762 0.3238
Pm4 0.8254 0.3254 0.1746
Pm5 0.6762 0.3238 0.8238
Pm6 0.0708 0.4292 0.5708
Pm7 0.6746 0.6746 0.6746
Pm8 0.3238 0.8238 0.6762
Pm9 0.3254 0.1746 0.8254
Pm10 0.1762 0.1762 0.1762
Pm11 0.9292 0.9292 0.9292
Pm12 0.1746 0.8254 0.3254
Tl1 0.6295 0.9990 0.7532
Tl2 0.1295 0.5010 0.2468
Tl3 0.5010 0.2468 0.1295
Tl4 0.0010 0.2532 0.8705
Tl5 0.2532 0.8705 0.0010
Tl6 0.3705 0.4990 0.7468
Tl7 0.4990 0.7468 0.3705
Tl8 0.2468 0.1295 0.5010
Tl9 0.7532 0.6295 0.9990
Tl10 0.9990 0.7532 0.6295
Tl11 0.8705 0.0010 0.2532
Tl12 0.7468 0.3705 0.4990
Tb1 0.9261 0.0739 0.5739
Tb2 0.0739 0.5739 0.9261
Tb3 0.4261 0.4261 0.4261
Tb4 0.5739 0.9261 0.0739

***

Entry 4:
DFT (PBE-GGA) results for ZrTiNbAl after structural relaxation.

Computed properties:
Total moment, μB/f.u.: 0.0
Space-group type: F-43m
Energy of formation, eV/atom: -0.161

a = 4.7117 Å, b = 4.7117 Å, c = 4.7117 Å
α = 60.00°, β = 60.00°, γ = 60.00°
Atoms (fractional coordinates):
Zr1 0.7500 0.7500 0.7500
Nb1 0.5000 0.5000 0.5000
Ti1 0.2500 0.2500 0.2500
Al1 0.0000 0.0000 0.0000

***

Entry 5:
DFT (PBE-GGA) results for SrLi4Au after structural relaxation.

Computed properties:
Total moment, μB/f.u.: 0.0
Space-group type: C2/m
Excess energy over the best structure of this formula in the dataset, eV/f.u.: 0.49
Energy of formation, eV/atom: -0.178

a = 5.4202 Å, b = 7.0576 Å, c = 9.1759 Å
α = 112.62°, β = 106.82°, γ = 90.00°
Atoms (fractional coordinates):
Li1 0.4117 0.1322 0.8207
Li2 0.5883 0.3114 0.1793
Li3 0.0000 0.8141 0.0000
Li4 0.4117 0.6886 0.8207
Li5 0.5883 0.8678 0.1793
Li6 0.8586 0.3598 0.7196
Li7 0.1414 0.6402 0.2804
Li8 0.0000 0.1859 0.0000
Sr1 0.7839 0.7833 0.5666
Sr2 0.2161 0.2167 0.4334
Au1 0.2528 0.4994 0.9988
Au2 0.7472 0.5006 0.0012

***

Entry 6:
DFT (PBE-GGA) results for Li2CaCdAg after structural relaxation.

Computed properties:
Total moment, μB/f.u.: 0.0
Space-group type: P4/mmm
Energy of formation, eV/atom: -0.040

a = 4.9130 Å, b = 4.9130 Å, c = 5.3146 Å
α = 90.00°, β = 90.00°, γ = 90.00°
Atoms (fractional coordinates):
Li1 0.0000 0.5000 0.0000
Li2 0.5000 0.0000 0.0000
Ag1 0.0000 0.0000 0.0000
Ca1 0.5000 0.5000 0.5000
Cd1 0.0000 0.0000 0.5000

***

Entry 7:
DFT (PBE-GGA) results for Pr7Sn2Bi2 after structural relaxation.

Computed properties:
Total moment, μB/f.u.: 0.0
Space-group type: Cmmm
Energy of formation, eV/atom: -0.382

a = 7.6569 Å, b = 7.0272 Å, c = 7.6569 Å
α = 90.00°, β = 99.96°, γ = 90.00°
Atoms (fractional coordinates):
Pr1 0.0002 0.7276 0.4997
Pr2 0.5002 0.7435 0.4998
Pr3 0.0000 0.0000 0.0000
Pr4 0.9998 0.2724 0.5003
Pr5 0.4998 0.2565 0.5002
Pr6 0.4997 0.2724 0.0002
Pr7 0.5003 0.7276 0.9998
Bi1 0.1939 0.5000 0.1939
Bi2 0.8061 0.5000 0.8061
Sn1 0.2729 0.0000 0.7271
Sn2 0.7271 0.0000 0.2729

***

Entry 8:
DFT (PBE-GGA) results for CdIn2Te after structural relaxation.

Computed properties:
Total moment, μB/f.u.: 0.0
Space-group type: Imm2
Excess energy over the best structure of this formula in the dataset, eV/f.u.: 0.31
Raw formation energy, kJ/mol of atoms: -4.3

a = 6.5097 Å, b = 6.5097 Å, c = 6.5097 Å
α = 144.27°, β = 134.46°, γ = 59.19°
Atoms (fractional coordinates):
In1 0.7331 0.2331 0.5000
In2 0.0185 0.0185 0.0000
Cd1 0.2652 0.7652 0.5000
Te1 0.4833 0.4833 0.0000